A plane-wave DFT calculation with PBE was carried out for CuNiRu after structural relaxation.

The structure in POSCAR format:
```
CuNiRu
1.0
7.7689 0.0000 0.0000
0.0000 4.4750 0.0000
-2.6774 0.0000 4.2703
Cu Ni Ru
4 4 4
Cartesian
-0.0288 0.0000 2.1312
1.2359 2.2375 2.1391
3.8557 2.2375 2.1312
5.1204 0.0000 2.1391
-1.3387 2.2525 2.1352
0.0000 2.9912 0.0000
2.5458 0.0149 2.1352
3.8845 0.7536 0.0000
-1.3778 0.7661 4.2671
2.5849 3.0036 0.0032
2.5067 3.0036 4.2671
6.4693 0.7661 0.0032
```

E_form in meV/atom: 161
Energy relative to the lowest polymorph listed for this composition in eV/atom: 0.028